VASP calculation (PBE) on a relaxed LiSc2CrSn crystal.

Unit cell a=4.8478 b=4.8478 c=4.6139 alpha=90.00 beta=90.00 gamma=90.00
Closest atoms and distances in Å follow each position.
Space group P4/mmm (No. 123)
Inequivalent atoms, fractional coordinates:
Li (0.0000, 0.0000, 0.0000) [1 per cell]  2 Sn 2.31, 4 Sc 2.42
Sc (0.0000, 0.5000, 0.0000) [2 per cell]  2 Li 2.42
Cr (0.5000, 0.5000, 0.5000) [1 per cell]  8 Sc 3.35, 4 Sn 3.43
Sn (0.0000, 0.0000, 0.5000) [1 per cell]  2 Li 2.31

Properties
Energy relative to the elements ... 0.469 eV/atom
Energy ... -5.1718 eV per atom
Total magnetization ... 3.39 Bohr magnetons per cell